# 1
A relaxed structure of SrSc2AgIr, computed with PBE-GGA.

Properties
formation energy: -0.13 eV/atom
uncorrected energy: -0.3923 Ry per atom

a = 5.013 Å, b = 5.013 Å, c = 5.878 Å
α = 90.00°, β = 90.00°, γ = 90.00°
Fractional positions:
Sr  0.000  0.000  0.000
Sc  0.000  0.500  0.500
Sc  0.500  0.000  0.500
Ag  0.500  0.500  0.000
Ir  0.000  0.000  0.500

=====

# 2
A relaxed structure of TbScAgIr, computed with PBE-GGA.

Properties
formation energy: -0.58 eV/atom
uncorrected energy: -0.4593 Ry per atom

a = 4.854 Å, b = 4.854 Å, c = 4.854 Å
α = 60.00°, β = 60.00°, γ = 60.00°
Fractional positions:
Tb  0.000  0.000  0.000
Sc  0.500  0.500  0.500
Ag  0.250  0.250  0.250
Ir  0.750  0.750  0.750

=====

# 3
A relaxed structure of ScTiAgIr, computed with PBE-GGA.

Properties
formation energy: -0.47 eV/atom
uncorrected energy: -0.5110 Ry per atom

a = 4.595 Å, b = 4.595 Å, c = 4.595 Å
α = 60.00°, β = 60.00°, γ = 60.00°
Fractional positions:
Sc  0.000  0.000  0.000
Ti  0.500  0.500  0.500
Ag  0.750  0.750  0.750
Ir  0.250  0.250  0.250

=====

# 4
A relaxed structure of Sc5Tl2AgIr2, computed with PBE-GGA.

Properties
formation energy: -0.49 eV/atom
uncorrected energy: -0.4550 Ry per atom

a = 11.264 Å, b = 11.264 Å, c = 3.417 Å
α = 90.00°, β = 90.00°, γ = 90.00°
Fractional positions:
Sc  0.000  0.500  0.000
Sc  0.077  0.201  0.000
Sc  0.201  0.923  0.000
Sc  0.299  0.423  0.000
Sc  0.423  0.701  0.000
Sc  0.500  0.000  0.000
Sc  0.577  0.299  0.000
Sc  0.701  0.577  0.000
Sc  0.799  0.077  0.000
Sc  0.923  0.799  0.000
Tl  0.170  0.670  0.500
Tl  0.330  0.170  0.500
Tl  0.670  0.830  0.500
Tl  0.830  0.330  0.500
Ag  0.000  0.000  0.500
Ag  0.500  0.500  0.500
Ir  0.133  0.367  0.500
Ir  0.367  0.867  0.500
Ir  0.633  0.133  0.500
Ir  0.867  0.633  0.500

=====

# 5
A relaxed structure of TmScAgIr, computed with PBE-GGA.

Properties
formation energy: -0.64 eV/atom
uncorrected energy: -0.4608 Ry per atom

a = 4.805 Å, b = 4.805 Å, c = 4.805 Å
α = 60.00°, β = 60.00°, γ = 60.00°
Fractional positions:
Tm  0.000  0.000  0.000
Sc  0.500  0.500  0.500
Ag  0.750  0.750  0.750
Ir  0.250  0.250  0.250

=====

# 6
A relaxed structure of AgIr2Se, computed with PBE-GGA.

Properties
uncorrected energy: -0.3979 Ry per atom

a = 5.744 Å, b = 5.744 Å, c = 5.744 Å
α = 102.71°, β = 102.71°, γ = 124.05°
Fractional positions:
Ag  0.000  0.000  0.000
Ag  0.750  0.250  0.500
Ir  0.174  0.125  0.549
Ir  0.375  0.826  0.951
Ir  0.576  0.625  0.451
Ir  0.875  0.424  0.049
Se  0.250  0.750  0.500
Se  0.500  0.500  0.000

=====

# 7
A relaxed structure of AgIrSe2, computed with PBE-GGA.

Properties
uncorrected energy: -0.3399 Ry per atom

a = 5.268 Å, b = 5.268 Å, c = 5.191 Å
α = 100.85°, β = 100.85°, γ = 40.38°
Fractional positions:
Ag  0.000  0.000  0.000
Ir  0.288  0.288  0.125
Se  0.694  0.694  0.817
Se  0.861  0.861  0.430

=====

# 8
A relaxed structure of AgIr2Se, computed with PBE-GGA.

Properties
uncorrected energy: -0.3896 Ry per atom

a = 4.208 Å, b = 4.208 Å, c = 3.641 Å
α = 90.00°, β = 90.00°, γ = 90.00°
Fractional positions:
Ag  0.000  0.000  0.000
Ir  0.000  0.500  0.500
Ir  0.500  0.000  0.500
Se  0.500  0.500  0.000

=====

# 9
A relaxed structure of AgIrSe2, computed with PBE-GGA.

Properties
uncorrected energy: -0.3552 Ry per atom

a = 7.359 Å, b = 3.783 Å, c = 6.556 Å
α = 90.00°, β = 99.78°, γ = 90.00°
Fractional positions:
Ag  0.000  0.000  0.000
Ag  0.000  0.000  0.500
Ir  0.500  0.248  0.250
Ir  0.500  0.752  0.750
Se  0.329  0.244  0.550
Se  0.329  0.756  0.050
Se  0.671  0.244  0.950
Se  0.671  0.756  0.450

=====

# 10
A relaxed structure of AgIr2Se, computed with PBE-GGA.

Properties
uncorrected energy: -0.3923 Ry per atom

a = 4.635 Å, b = 4.635 Å, c = 2.994 Å
α = 90.00°, β = 90.00°, γ = 90.00°
Fractional positions:
Ag  0.000  0.000  0.000
Ir  0.000  0.500  0.500
Ir  0.500  0.000  0.500
Se  0.500  0.500  0.000

=====

# 11
A relaxed structure of AgIrSe2, computed with PBE-GGA.

Properties
uncorrected energy: -0.3486 Ry per atom

a = 7.116 Å, b = 7.116 Å, c = 7.116 Å
α = 30.32°, β = 30.32°, γ = 30.32°
Fractional positions:
Ag  0.000  0.000  0.000
Ir  0.500  0.500  0.500
Se  0.232  0.232  0.232
Se  0.768  0.768  0.768

=====

# 12
A relaxed structure of AgIrSe2, computed with PBE-GGA.

Properties
uncorrected energy: -0.3261 Ry per atom

a = 6.717 Å, b = 6.717 Å, c = 6.717 Å
α = 153.78°, β = 144.22°, γ = 44.90°
Fractional positions:
Ag  0.000  0.000  0.000
Ir  0.216  0.716  0.500
Se  0.379  0.379  0.000
Se  0.659  0.159  0.500